A geometry-optimized Cr2HgRuF structure, computed with GGA+U.

Cell: 5.2849 5.2849 4.4297 Å, 90.00 90.00 90.00°
Space group P4/mmm (No. 123)
Inequivalent atoms, fractional coordinates:
Cr: 0.0000 0.5000 0.0000
Hg: 0.0000 0.0000 0.0000
Ru: 0.5000 0.5000 0.5000
F: 0.0000 0.0000 0.5000

Uncorrected energy in eV per atom: -4.224
Magnetization in μB/atom: 1.413